[1]
The following is a DFT calculation (PBE-GGA) of a relaxed CaCdCl2 crystal.

Properties
Polymorph energy (0 for the lowest one), meV/atom: 145
Total DFT energy (no corrections), eV/cell: -25.2
Energy relative to the elements, uncorrected, eV per atom: -1.49
Magnetic moment, μB per formula unit: 0.00

abc: 8.2409 8.2409 8.0013
angles: 59.00 59.00 90.00
Fractional coordinates of all 8 atoms:
Ca1 0.5000 0.5000 0.0000
Ca2 0.2500 0.7500 0.5000
Cl1 0.4803 0.1250 0.2500
Cl2 0.2697 0.6250 0.2500
Cl3 0.3750 0.5197 0.7500
Cl4 0.8750 0.7303 0.7500
Cd1 0.0000 0.0000 0.0000
Cd2 0.7500 0.2500 0.5000

---

[2]
The following is a DFT calculation (PBE-GGA) of a relaxed Nd2YAu2 crystal.

Properties
Energy of formation, eV/atom: -0.65
Total DFT energy (no corrections), eV/cell: -51.7
Magnetic moment, μB per formula unit: 0.00

abc: 3.9150 8.3485 8.3485
angles: 90.00 90.00 90.00
Fractional coordinates of all 10 atoms:
Nd1 0.5000 0.1660 0.6660
Nd2 0.5000 0.6660 0.8340
Nd3 0.5000 0.8340 0.3340
Nd4 0.5000 0.3340 0.1660
Y1 0.0000 0.0000 0.0000
Y2 0.0000 0.5000 0.5000
Au1 0.0000 0.3696 0.8696
Au2 0.0000 0.8696 0.6304
Au3 0.0000 0.6304 0.1304
Au4 0.0000 0.1304 0.3696

---

[3]
The following is a DFT calculation (PBE-GGA) of a relaxed CaOsC crystal.

Properties
Polymorph energy (0 for the lowest one), meV/atom: 45
Energy of formation, eV/atom: 0.16
Total DFT energy (no corrections), eV/cell: -44.0
Magnetic moment, μB per formula unit: 0.00

abc: 3.3805 5.7719 5.3242
angles: 90.00 90.00 90.00
Fractional coordinates of all 6 atoms:
Ca1 0.5000 0.7500 0.7722
Ca2 0.5000 0.2500 0.2278
Os1 0.0000 0.7500 0.2778
Os2 0.0000 0.2500 0.7222
C1 0.0000 0.0000 0.5000
C2 0.0000 0.5000 0.5000

---

[4]
The following is a DFT calculation (PBE-GGA) of a relaxed ScMo2PtI crystal.

Properties
Total DFT energy (no corrections), eV/cell: -30.6
Energy relative to the elements, uncorrected, eV per atom: 0.99
Magnetic moment, μB per formula unit: 3.25

abc: 4.9342 5.1214 4.9342
angles: 90.00 90.00 90.00
Last column: magnetic moment on the atom in μB.
Fractional coordinates of all 5 atoms:
I1 0.5000 0.5000 0.5000  0.04
Sc1 0.0000 0.5000 0.0000  -0.10
Mo1 0.0000 0.0000 0.5000  1.46
Mo2 0.5000 0.0000 0.0000  1.38
Pt1 0.0000 0.0000 0.0000  0.01

---

[5]
The following is a DFT calculation (PBE-GGA) of a relaxed Dy2Y3Cd2 crystal.

Properties
Polymorph energy (0 for the lowest one), meV/atom: 96
Energy of formation, eV/atom: -0.06
Total DFT energy (no corrections), eV/cell: -30.8
Magnetic moment, μB per formula unit: 0.00

abc: 5.0641 3.4750 11.6819
angles: 90.00 77.48 90.00
Fractional coordinates of all 7 atoms:
Dy1 0.7108 0.5000 0.5785
Dy2 0.2892 0.5000 0.4215
Y1 0.8539 0.0000 0.2923
Y2 0.0000 0.0000 0.0000
Y3 0.1461 0.0000 0.7077
Cd1 0.5690 0.5000 0.8621
Cd2 0.4310 0.5000 0.1379

---

[6]
The following is a DFT calculation (PBE-GGA) of a relaxed TmMg2Cd2In2 crystal.

Properties
Energy of formation, eV/atom: -0.17
Total DFT energy (no corrections), eV/cell: -16.1
Magnetic moment, μB per formula unit: 0.00

abc: 4.8334 4.8357 8.9337
angles: 105.72 90.00 119.99
Fractional coordinates of all 7 atoms:
Tm1 0.0000 0.0000 0.0000
Mg1 0.1332 0.2665 0.3986
Mg2 0.8668 0.7335 0.6014
Cd1 0.7514 0.5028 0.2541
Cd2 0.2486 0.4972 0.7459
In1 0.6100 0.2200 0.8294
In2 0.3900 0.7800 0.1706

---

[7]
The following is a DFT calculation (PBE-GGA) of a relaxed Ga2H7 crystal.

Properties
Total DFT energy (no corrections), eV/cell: -22.1
Magnetic moment, μB per formula unit: 0.00

abc: 4.3508 4.3508 4.3508
angles: 60.00 60.00 60.00
Fractional coordinates of all 9 atoms:
Ga1 0.7500 0.7500 0.7500
Ga2 0.2500 0.2500 0.2500
H1 0.0000 0.0000 0.0000
H2 0.2512 0.7488 0.7488
H3 0.7488 0.7488 0.2512
H4 0.7488 0.2512 0.7488
H5 0.7488 0.2512 0.2512
H6 0.2512 0.2512 0.7488
H7 0.2512 0.7488 0.2512

---

no.,D(E_F) (states/eV per atom)
1,0.000
2,1.081
3,0.238
4,1.408
5,1.032
6,0.330
7,0.145